No. 1
A relaxed structure of AlCrSb, computed with PBE-GGA.

Uncorrected formation energy: -0.01 eV/atom
Size of the total moment: 3.62 μB/cell
Theoretical density: 6.2 Mg/m³

abc: 6.7271 6.7228 4.2387
angles: 71.69 71.57 36.74
Element x y z (fractional)
Al (0.1238, 0.1238, 0.8762)
Al (0.8762, 0.8762, 0.1238)
Cr (0.0000, 0.0000, 0.5000)
Cr (0.5000, 0.5000, 0.0000)
Sb (0.3533, 0.3533, 0.6467)
Sb (0.6467, 0.6467, 0.3533)


No. 2
A relaxed structure of AlCrSb, computed with PBE-GGA.

Uncorrected formation energy: 0.26 eV/atom
Size of the total moment: 2.54 μB/cell
Theoretical density: 5.8 Mg/m³

abc: 6.5210 6.5210 6.5210
angles: 152.84 152.84 38.79
Element x y z (fractional)
Al (0.0000, 0.0000, 0.0000)
Cr (0.6233, 0.6233, 0.0000)
Sb (0.2728, 0.2728, 0.0000)


No. 3
A relaxed structure of Al4CrSb, computed with PBE-GGA.

Uncorrected formation energy: 0.27 eV/atom
Size of the total moment: 2.29 μB/cell
Theoretical density: 4.4 Mg/m³

abc: 5.3154 5.3154 5.3154
angles: 60.00 60.00 60.00
Element x y z (fractional)
Al (0.3759, 0.3759, 0.3759)
Al (0.3759, 0.3759, 0.8722)
Al (0.3759, 0.8722, 0.3759)
Al (0.8722, 0.3759, 0.3759)
Cr (0.7500, 0.7500, 0.7500)
Sb (0.0000, 0.0000, 0.0000)